DFT (PBE with a Hubbard U) results for a relaxed structure of NiGeNO2.

Cell lengths 3.772, 3.772, 3.743 Å; angles 90.00, 90.00, 90.00 degrees
Positions (direct):
Ni 0.000 0.000 0.000
Ge 0.500 0.500 0.500
N 0.500 0.500 0.000
O 0.000 0.500 0.500
O 0.500 0.000 0.500

For the total moment, the calculation gives 2.99 Bohr magnetons per cell. The value obtained for the final energy is -4.919 eV/atom.